First-principles (PBE) data for RbInSn2 after structural relaxation, as listed in Alexandria via LeMat-Bulk.

a b c (Å): 4.3488 7.3544 5.3590
angles (deg): 100.86 113.94 90.00
Last column: nearest neighbours and their distance in Å.
Element x y z (fractional)
Sn 0.7466 0.6485 0.4933  1 In 2.91, 2 Sn 3.09
Sn 0.2534 0.3515 0.5067  1 In 2.91, 2 Sn 3.09
In 0.0000 0.5000 0.0000  2 Sn 2.91
Rb 0.5000 0.0000 0.0000  6 Sn 3.86-3.88, 4 In 4.27

Calculated values
M_tot, μB/atom: 0.000
Fermi-level density of states, states/eV per cell: 1.11
Final energy, eV per formula unit: -12.11
Formation enthalpy at 0 K, eV per atom: -0.10